BaInPd3 | PBE-GGA | optimized geometry

As for the density of states at the Fermi level: 2.62 states/eV/f.u. The total energy comes out at -42.68 eV per cell. Its energy above the most stable polymorph in this dataset is 0.3043 eV per atom. The formation energy comes out at -220 meV per atom.

The structure belongs to space group Cmmm (No. 65); the cell edges are 6.118, 8.378 and 5.156 Å and the angles 90.00°, 90.00° and 90.00°. Symmetry generates all atoms from Ba at (0.000, 0.000, 0.000), In at (0.000, 0.500, 0.500), Pd at (0.000, 0.500, 0.000) and Pd at (0.250, 0.250, 0.500).

Hf2MnNi | PBE-GGA | optimized geometry

As for the density of states at the Fermi level: 3.30 states/eV/f.u. The total energy comes out at -36.18 eV per cell. The formation energy comes out at -332 meV per atom.

The structure belongs to space group P4/mmm (No. 123); the cell edges are 3.177, 3.177 and 6.290 Å and the angles 90.00°, 90.00° and 90.00°. Symmetry generates all atoms from Hf at (0.000, 0.000, 0.243), Mn at (0.500, 0.500, 0.000) and Ni at (0.500, 0.500, 0.500).

AgMo2Cl | PBE-GGA | optimized geometry

As for the density of states at the Fermi level: 3.82 states/eV/f.u. The total energy comes out at -72.30 eV per cell. Its energy above the most stable polymorph in this dataset is 0.3729 eV per atom. The energy relative to the elements, uncorrected comes out at 218 kJ/mol of formula units.

The structure belongs to space group R-3m (No. 166, hexagonal axes); the cell edges are 2.8830, 2.8830 and 26.8003 Å and the angles 90.00°, 90.00° and 120.00°. Symmetry generates all atoms from Ag at (0.0000, 0.0000, 0.0000), Mo at (0.0000, 0.0000, 0.2437) and Cl at (0.0000, 0.0000, 0.5000).

- What is the total energy in the second record?
  -36.18 eV per cell

- Which of these has the lowest total energy?
  AgMo2Cl